No. 1
This record from Alexandria describes a relaxed structure of Ba3ZrB. The functional is GGA-PBE.

Cell lengths 5.921, 5.921, 5.921 Å; angles 90.00, 90.00, 90.00 degrees
Space group Pm-3m (No. 221)
One atom of each set of equivalent atoms:
Ba  0.000  0.000  0.500
Zr  0.500  0.500  0.500
B  0.000  0.000  0.000

Properties
**M_tot**: 0.73 μB per atom
**Density of states at the Fermi level**: 6.63 states/eV per cell
**ΔE_f**: 0.908 eV per atom
**Total DFT energy (no corrections)**: -16.5 eV for the cell shown

***

No. 2
This record from Alexandria describes a relaxed structure of Ba2ZrB. The functional is GGA-PBE.

Cell lengths 11.559, 11.559, 4.568 Å; angles 90.00, 90.00, 90.00 degrees
Space group I-42d (No. 122)
One atom of each set of equivalent atoms:
Ba  0.089  0.250  0.125
Zr  0.000  0.000  0.500
B  0.000  0.000  0.000

Properties
**M_tot**: 0.00 μB per atom
**Density of states at the Fermi level**: 21.89 states/eV per cell
**ΔE_f**: 0.617 eV per atom
**Total DFT energy (no corrections)**: -66.4 eV for the cell shown

***

No. 3
This record from Alexandria describes a relaxed structure of BaZr3B. The functional is GGA-PBE.

Cell lengths 5.253, 5.253, 5.253 Å; angles 90.00, 90.00, 90.00 degrees
Space group Pm-3m (No. 221)
One atom of each set of equivalent atoms:
Ba  0.000  0.000  0.000
Zr  0.000  0.000  0.500
B  0.500  0.500  0.500

Properties
**M_tot**: 0.19 μB per atom
**Density of states at the Fermi level**: 3.08 states/eV per cell
**ΔE_f**: 2.661 eV per atom
**Total DFT energy (no corrections)**: -20.9 eV for the cell shown
**Offset from the most stable computed form**: 2329 meV/atom

***

No. 4
This record from Alexandria describes a relaxed structure of BaZr3B. The functional is GGA-PBE.

Cell lengths 4.896, 4.896, 4.896 Å; angles 90.00, 90.00, 90.00 degrees
Space group Pm-3m (No. 221)
One atom of each set of equivalent atoms:
Ba  0.000  0.000  0.000
Zr  0.000  0.500  0.500
B  0.500  0.500  0.500

Properties
**M_tot**: 0.00 μB per atom
**Density of states at the Fermi level**: 9.03 states/eV per cell
**ΔE_f**: 0.332 eV per atom
**Total DFT energy (no corrections)**: -32.6 eV for the cell shown
**Offset from the most stable computed form**: 0 meV/atom

***

No. 5
This record from Alexandria describes a relaxed structure of BaZrB3. The functional is GGA-PBE.

Cell lengths 4.659, 4.659, 4.659 Å; angles 90.00, 90.00, 90.00 degrees
Space group Pm-3m (No. 221)
One atom of each set of equivalent atoms:
Ba  0.000  0.000  0.000
Zr  0.500  0.500  0.500
B  0.000  0.500  0.500

Properties
**M_tot**: 0.00 μB per atom
**Density of states at the Fermi level**: 6.34 states/eV per cell
**ΔE_f**: 0.929 eV per atom
**Total DFT energy (no corrections)**: -25.9 eV for the cell shown
**Offset from the most stable computed form**: 0 meV/atom

***

No. 6
This record from Alexandria describes a relaxed structure of BaZr2B. The functional is GGA-PBE.

Cell lengths 10.150, 10.150, 10.150 Å; angles 90.00, 90.00, 90.00 degrees
Space group Fd-3m (No. 227, origin choice 2)
One atom of each set of equivalent atoms:
Ba  0.125  0.125  0.125
Zr  0.000  0.000  0.500
B  0.125  0.125  0.625

Properties
**M_tot**: 0.00 μB per atom
**Density of states at the Fermi level**: 23.76 states/eV per cell
**ΔE_f**: 0.602 eV per atom
**Total DFT energy (no corrections)**: -186.3 eV for the cell shown

***

No. 7
This record from Alexandria describes a relaxed structure of Be3B. The functional is GGA-PBE.

Cell lengths 3.712, 3.864, 4.628 Å; angles 103.14, 93.01, 100.98 degrees
Space group P-1 (No. 2)
One atom of each set of equivalent atoms:
Be  0.142  0.280  0.055
Be  0.244  0.467  0.627
Be  0.346  0.858  0.287
B  0.106  0.955  0.658

Properties
**M_tot**: 0.00 μB per atom
**Density of states at the Fermi level**: 0.84 states/eV per cell
**ΔE_f**: 0.093 eV per atom
**Total DFT energy (no corrections)**: -35.0 eV for the cell shown
**Offset from the most stable computed form**: 108 meV/atom

***

No. 8
This record from Alexandria describes a relaxed structure of Be3B. The functional is GGA-PBE.

Cell lengths 3.856, 3.984, 4.588 Å; angles 73.85, 84.36, 67.81 degrees
Space group P-1 (No. 2)
One atom of each set of equivalent atoms:
Be  0.128  0.405  0.232
Be  0.255  0.783  0.448
Be  0.314  0.010  0.815
B  0.425  0.449  0.851

Properties
**M_tot**: 0.00 μB per atom
**Density of states at the Fermi level**: 1.16 states/eV per cell
**ΔE_f**: 0.111 eV per atom
**Total DFT energy (no corrections)**: -34.8 eV for the cell shown
**Offset from the most stable computed form**: 126 meV/atom